[1]
Cs2ZnPdF6: relaxed, PBE.

Computed properties:
Total magnetization = 2.000 μB per cell
V = 166.9 Å³/cell
Calculated total energy = -40.89 eV/cell
SG = No. 225

```
Cs2ZnPdF6
1.0
0.0000 4.3696 4.3696
4.3696 0.0000 4.3696
4.3696 4.3696 0.0000
Cs Zn Pd F
2 1 1 6
Cartesian
2.1848 2.1848 2.1848
6.5544 6.5544 6.5544
0.0000 0.0000 0.0000
4.3696 4.3696 4.3696
4.3696 4.3696 2.1042
4.3696 2.1042 4.3696
6.6350 4.3696 4.3696
2.1042 4.3696 4.3696
4.3696 6.6350 4.3696
4.3696 4.3696 6.6350
```

---

[2]
Cs2ZrPdF6: relaxed, PBE.

Computed properties:
Total magnetization = 0.000 μB per cell
V = 229.3 Å³/cell
Calculated total energy = -53.91 eV/cell
SG = No. 139

```
Cs2ZrPdF6
1.0
-3.6739 3.6739 4.2462
3.6739 -3.6739 4.2462
3.6739 3.6739 -4.2462
Cs Zr Pd F
2 1 1 6
Cartesian
3.6739 0.0000 2.1231
0.0000 3.6739 2.1231
0.0000 0.0000 0.0000
0.0000 0.0000 4.2462
1.4403 1.4403 0.0000
2.2336 -2.2336 4.2462
0.0000 0.0000 2.0526
0.0000 0.0000 6.4399
-2.2336 2.2336 4.2462
2.2336 2.2336 4.2462
```

---

[3]
CsPm3F10: relaxed, PBE.

Computed properties:
Total magnetization = 0.486 μB per cell
V = 447.9 Å³/cell
Calculated total energy = -178.34 eV/cell
SG = No. 225

```
CsPm3F10
1.0
0.0000 6.0729 6.0729
6.0729 0.0000 6.0729
6.0729 6.0729 0.0000
Cs Pm F
2 6 20
Cartesian
3.0365 3.0365 3.0365
9.1094 9.1094 9.1094
6.0729 6.0729 2.9156
6.0729 2.9156 6.0729
9.2302 6.0729 6.0729
2.9156 6.0729 6.0729
6.0729 9.2302 6.0729
6.0729 6.0729 9.2302
1.3254 1.3254 1.3254
4.7475 4.7475 1.3254
4.7475 1.3254 4.7475
6.0729 4.0829 4.0829
8.0630 6.0729 4.0829
8.0630 4.0829 6.0729
10.8205 7.3983 7.3983
4.0829 6.0729 4.0829
6.0729 8.0630 4.0829
4.0829 4.0829 6.0729
8.0630 8.0630 6.0729
6.0729 4.0829 8.0630
8.0630 6.0729 8.0630
1.3254 4.7475 4.7475
4.0829 8.0630 6.0729
4.0829 6.0729 8.0630
6.0729 8.0630 8.0630
7.3983 10.8205 7.3983
7.3983 7.3983 10.8205
10.8205 10.8205 10.8205
```

---

[4]
Cs2PmF4: relaxed, PBE.

Computed properties:
Total magnetization = 1.593 μB per cell
V = 357.7 Å³/cell
Calculated total energy = -70.42 eV/cell
SG = No. 55

```
Cs2PmF4
1.0
7.1851 0.0000 0.0000
0.0000 12.3905 0.0000
0.0000 0.0000 4.0181
Cs Pm F
4 2 8
Cartesian
0.1997 2.1754 0.0000
3.3928 8.3707 0.0000
3.7923 4.0198 0.0000
6.9854 10.2151 0.0000
0.0000 6.1953 2.0091
3.5926 0.0000 2.0091
0.9671 5.3041 0.0000
1.0330 8.2318 2.0091
2.5596 2.0366 2.0091
2.6255 11.4994 0.0000
4.5596 0.8912 0.0000
4.6255 10.3540 2.0091
6.1522 4.1587 2.0091
6.2181 7.0864 0.0000
```

---

[5]
Cs4Pm6F19: relaxed, PBE.

Computed properties:
Total magnetization = 2.682 μB per cell
V = 642.3 Å³/cell
Calculated total energy = -167.73 eV/cell
SG = No. 197

```
Cs4Pm6F19
1.0
-5.4354 5.4354 5.4354
5.4354 -5.4354 5.4354
5.4354 5.4354 -5.4354
Cs Pm F
4 6 19
Cartesian
1.5921 1.5921 -1.5921
1.5921 -1.5921 1.5921
-1.5921 1.5921 1.5921
3.8433 3.8433 3.8433
5.4354 1.7490 0.0000
5.4354 0.0000 3.6865
3.6865 5.4354 0.0000
1.7490 0.0000 5.4354
0.0000 5.4354 1.7490
0.0000 3.6865 5.4354
0.0000 0.0000 0.0000
3.8070 0.0000 0.0000
7.0639 0.0000 0.0000
5.1800 -1.8745 2.3069
7.3100 3.1285 -0.2555
2.3069 5.1800 -1.8745
3.5609 3.1285 0.2555
0.0000 3.8070 0.0000
0.0000 0.0000 3.8070
3.1285 0.2555 3.5609
5.6909 1.8745 2.3069
0.2555 3.5609 3.1285
3.1285 -0.2555 7.3100
0.0000 7.0639 0.0000
0.0000 0.0000 7.0639
-1.8745 2.3069 5.1800
2.3069 5.6909 1.8745
1.8745 2.3069 5.6909
-0.2555 7.3100 3.1285
```

---

[6]
CsPm2F6: relaxed, PBE.

Computed properties:
Total magnetization = 0.846 μB per cell
V = 208.6 Å³/cell
Calculated total energy = -53.14 eV/cell
SG = No. 162

```
CsPm2F6
1.0
6.7156 0.0000 0.0000
-3.3578 5.8159 0.0000
0.0000 0.0000 5.3421
Cs Pm F
1 2 6
Cartesian
0.0000 0.0000 0.0000
0.0000 3.8773 2.6711
3.3578 1.9386 2.6711
-1.2251 2.1220 3.6053
-2.1327 3.6939 1.7369
2.4502 0.0000 3.6053
1.2251 2.1220 1.7369
4.2654 0.0000 1.7369
2.1327 3.6939 3.6053
```